Ac5TeAs4 | PBE-GGA | optimized geometry

- energy relative to the elements, uncorrected (eV/atom) = -1.518
- theoretical density (Mg/m³) = 7.6
- calculated volume (Å³/cell) = 341.53

The structure in POSCAR format:
```
Ac5TeAs4
1.0
-2.2852 3.2476 11.5047
2.2852 -3.2476 11.5047
2.2852 3.2476 -11.5047
Ac Te As
5 1 4
direct
0.0000 0.0000 0.0000
0.1989 0.1989 0.0000
0.3904 0.3904 0.0000
0.6096 0.6096 0.0000
0.8011 0.8011 0.0000
0.5000 0.0000 0.5000
0.0990 0.5990 0.5000
0.2977 0.7977 0.5000
0.7023 0.2023 0.5000
0.9010 0.4010 0.5000
```

LiF4 | PBE-GGA | optimized geometry

- relative energy among the computed polymorphs (eV/atom) = 0.206
- energy relative to the elements, uncorrected (eV/atom) = -0.743
- theoretical density (Mg/m³) = 2.4
- calculated volume (Å³/cell) = 56.39

The structure in POSCAR format:
```
LiF4
1.0
3.8348 0.0000 0.0000
0.0000 3.8348 0.0000
0.0000 0.0000 3.8348
Li F
1 4
direct
0.0000 0.0000 0.0000
0.0000 0.0000 0.5000
0.0000 0.5000 0.0000
0.5000 0.0000 0.0000
0.5000 0.5000 0.5000
```

La8Sm4Tm | PBE-GGA | optimized geometry

- energy of formation from the pure elements (eV per formula unit) = 4.83
- theoretical density (Mg/m³) = 6.4
- calculated volume (Å³/cell) = 488.12

The structure in POSCAR format:
```
La8Sm4Tm
1.0
5.9363 3.4273 3.9987
-5.9363 3.4273 3.9987
0.0000 -6.8546 3.9987
La Sm Tm
8 4 1
direct
0.1728 0.1728 0.6717
0.1728 0.6717 0.1728
0.2367 0.2367 0.2367
0.3283 0.8272 0.8272
0.6717 0.1728 0.1728
0.7633 0.7633 0.7633
0.8272 0.3283 0.8272
0.8272 0.8272 0.3283
0.0000 0.0000 0.0000
0.0000 0.5000 0.5000
0.5000 0.0000 0.5000
0.5000 0.5000 0.0000
0.5000 0.5000 0.5000
```

Pr3OsO6 | PBE-GGA | optimized geometry

- energy relative to the elements, uncorrected (eV/atom) = -2.449
- theoretical density (Mg/m³) = 7.3
- calculated volume (Å³/cell) = 320.89

The structure in POSCAR format:
```
Pr3OsO6
1.0
4.6548 -5.8766 0.0000
4.6548 5.8766 0.0000
0.0000 0.0000 5.8653
Pr Os O
6 2 12
direct
0.1004 0.8996 0.5000
0.1995 0.4054 0.5482
0.4054 0.1995 0.0482
0.5946 0.8005 0.5482
0.8005 0.5946 0.0482
0.8996 0.1004 0.0000
0.2914 0.7086 0.0653
0.7086 0.2914 0.5653
0.0869 0.6023 0.2844
0.1429 0.1718 0.2787
0.1718 0.1429 0.7787
0.2836 0.7164 0.7529
0.3977 0.9131 0.2844
0.4384 0.5616 0.2849
0.5616 0.4384 0.7849
0.6023 0.0869 0.7844
0.7164 0.2836 0.2529
0.8282 0.8571 0.2787
0.8571 0.8282 0.7787
0.9131 0.3977 0.7844
```

SrMgAl2 | PBE-GGA | optimized geometry

- energy of formation from the pure elements (eV per formula unit) = 0.00
- theoretical density (Mg/m³) = 2.5
- calculated volume (Å³/cell) = 110.70

The structure in POSCAR format:
```
SrMgAl2
1.0
-2.1525 2.3222 5.5369
2.1525 -2.3222 5.5369
2.1525 2.3222 -5.5369
Sr Mg Al
1 1 2
direct
0.0000 0.0000 0.0000
0.7445 0.2445 0.5000
0.2516 0.7516 0.5000
0.3899 0.3899 0.0000
```

MgAl2Sb | PBE-GGA | optimized geometry

- energy relative to the elements, uncorrected (eV/atom) = 0.118
- theoretical density (Mg/m³) = 3.5
- calculated volume (Å³/cell) = 187.43

The structure in POSCAR format:
```
MgAl2Sb
1.0
-4.0438 4.0438 2.8655
4.0438 -4.0438 2.8655
4.0438 4.0438 -2.8655
Mg Al Sb
2 4 2
direct
0.0000 0.0000 0.0000
0.7500 0.2500 0.5000
0.1535 0.6250 0.0285
0.3750 0.4035 0.5285
0.5965 0.1250 0.9715
0.8750 0.8465 0.4715
0.2500 0.7500 0.5000
0.5000 0.5000 0.0000
```